Below is a relaxed BeNbSbPIr crystal, with properties calculated at the PBE-GGA level.

- space-group type = No. 1
- uncorrected formation energy (eV per formula unit) = -1.09
- total moment (μB per cell) = 0.00
- energy above the most stable polymorph in this dataset (eV per formula unit) = 0.875

```
BeNbSbPIr
1.0
3.219 0.000 0.000
1.497 4.348 0.001
0.794 0.387 5.718
Be P Ir Sb Nb
1 1 1 1 1
direct
0.563 0.125 0.580
0.093 0.974 0.838
0.456 0.089 0.151
0.108 0.626 0.346
0.812 0.540 0.827
```

=====

Below is a relaxed NdEuHo crystal, with properties calculated at the PBE-GGA level.

- space-group type = No. 156
- total moment (μB per cell) = 7.37
- energy of formation (meV per atom) = 47

```
NdEuHo
1.0
3.676 0.000 0.000
-1.838 3.183 0.000
0.000 0.000 9.035
Nd Eu Ho
1 1 1
direct
0.667 0.333 0.346
0.000 0.000 0.995
0.333 0.667 0.658
```